# KOs2O7

KOs2O7 after structural relaxation (PBE, the Alexandria database).

Cell lengths 6.1761, 10.2815, 3.7932 Å; angles 90.00, 90.00, 90.00 degrees
With the nearest neighbours (Å) after each atom.
Space group Cmmm (No. 65)
Inequivalent atoms, fractional coordinates:
K: 0.0000 0.0000 0.0000 (multiplicity 2)  8 O 2.69
Os: 0.0000 0.3096 0.5000 (multiplicity 4)  7 O 1.90-2.01
O: 0.0000 0.3087 0.0000 (multiplicity 4)  2 Os 1.90
O: 0.0000 0.5000 0.5000 (multiplicity 2)  2 Os 1.96
O: 0.1843 0.1490 0.5000 (multiplicity 8)  2 Os 2.00-2.01, 1 O 2.23

Computed properties:
calculated total energy	-136.72	eV/cell
Fermi-level density of states	6.74	states/eV per cell
spin magnetization	0.00	μB/f.u.


# K2Os2O7

K2Os2O7 after structural relaxation (PBE, the Alexandria database).

Cell lengths 6.4165, 7.3609, 6.2403 Å; angles 90.00, 90.00, 90.00 degrees
With the nearest neighbours (Å) after each atom.
Space group Cmmm (No. 65)
Inequivalent atoms, fractional coordinates:
K: 0.2341 0.0000 0.0000 (multiplicity 4)  6 O 2.64-2.67
Os: 0.0000 0.2806 0.5000 (multiplicity 4)  7 O 1.96-2.07
O: 0.0000 0.0000 0.5000 (multiplicity 2)  2 Os 2.07
O: 0.0000 0.5000 0.3221 (multiplicity 4)  2 Os 1.96
O: 0.2500 0.2500 0.3089 (multiplicity 8)  2 Os 2.01

Computed properties:
relative energy among the computed polymorphs	163	meV/atom
Fermi-level density of states	6.64	states/eV per cell
spin magnetization	0.00	μB/f.u.


# KOs2O8

KOs2O8 after structural relaxation (PBE, the Alexandria database).

Cell lengths 12.9096, 7.4871, 7.4751 Å; angles 90.00, 125.15, 90.00 degrees
With the nearest neighbours (Å) after each atom.
Space group C2/m (No. 12)
Inequivalent atoms, fractional coordinates:
K: 0.0000 0.0000 0.0000 (multiplicity 2)  8 O 2.83-2.84
Os: 0.2503 0.0000 0.7490 (multiplicity 4)  4 O 1.74
O: 0.1543 0.3099 0.1560 (multiplicity 8)  1 Os 1.74
O: 0.1554 0.0000 0.4639 (multiplicity 4)  1 Os 1.74
O: 0.1547 0.0000 0.8439 (multiplicity 4)  1 Os 1.74

Computed properties:
relative energy among the computed polymorphs	0	meV/atom
Fermi-level density of states	14.09	states/eV per cell
spin magnetization	1.08	μB/f.u.


# K3OsO6

K3OsO6 after structural relaxation (PBE, the Alexandria database).

Cell lengths 6.2179, 6.3953, 10.8113 Å; angles 90.00, 125.02, 90.00 degrees
With the nearest neighbours (Å) after each atom.
Space group P2_1/c (No. 14)
Inequivalent atoms, fractional coordinates:
K: 0.0000 0.0000 0.0000 (multiplicity 2)  6 O 2.69-2.73
K: 0.2364 0.0425 0.7470 (multiplicity 4)  7 O 2.76-3.09
Os: 0.5000 0.0000 0.5000 (multiplicity 2)  6 O 1.86-1.87
O: 0.2258 0.1660 0.4676 (multiplicity 4)  1 Os 1.86
O: 0.2903 0.7384 0.9501 (multiplicity 4)  1 Os 1.87
O: 0.3760 0.0324 0.2978 (multiplicity 4)  1 Os 1.87

Computed properties:
relative energy among the computed polymorphs	0	meV/atom
Fermi-level density of states	20.85	states/eV per cell
spin magnetization	1.05	μB/f.u.


# KOs3O

KOs3O after structural relaxation (PBE, the Alexandria database).

Cell lengths 4.2597, 4.2597, 4.2597 Å; angles 90.00, 90.00, 90.00 degrees
With the nearest neighbours (Å) after each atom.
Space group Pm-3m (No. 221)
Inequivalent atoms, fractional coordinates:
K: 0.0000 0.0000 0.0000 (multiplicity 1)  12 Os 3.01
Os: 0.0000 0.5000 0.5000 (multiplicity 3)  2 O 2.13
O: 0.5000 0.5000 0.5000 (multiplicity 1)  6 Os 2.13

Computed properties:
relative energy among the computed polymorphs	0	meV/atom
Fermi-level density of states	6.66	states/eV per cell
spin magnetization	0.53	μB/f.u.


# K2OsO4

K2OsO4 after structural relaxation (PBE, the Alexandria database).

Cell lengths 3.9016, 3.9016, 13.7004 Å; angles 90.00, 90.00, 90.00 degrees
With the nearest neighbours (Å) after each atom.
Space group I4/mmm (No. 139)
Inequivalent atoms, fractional coordinates:
K: 0.0000 0.0000 0.1560 (multiplicity 4)  9 O 2.77-2.89
Os: 0.0000 0.0000 0.5000 (multiplicity 2)  6 O 1.90-1.95
O: 0.0000 0.0000 0.3610 (multiplicity 4)  1 Os 1.90
O: 0.0000 0.5000 0.0000 (multiplicity 4)  2 Os 1.95

Computed properties:
relative energy among the computed polymorphs	37	meV/atom
Fermi-level density of states	4.40	states/eV per cell
spin magnetization	1.18	μB/f.u.


# K2OsO5

K2OsO5 after structural relaxation (PBE, the Alexandria database).

Cell lengths 8.0026, 8.4700, 6.2562 Å; angles 90.00, 129.72, 90.00 degrees
With the nearest neighbours (Å) after each atom.
Space group Cm (No. 8)
Inequivalent atoms, fractional coordinates:
K: 0.0000 0.2498 0.0000 (multiplicity 4)  4 O 2.70-2.88
Os: 0.4927 0.0000 0.4999 (multiplicity 2)  5 O 1.77-1.85
O: 0.1747 0.5000 0.8831 (multiplicity 2)  1 Os 1.85
O: 0.2128 0.5000 0.4988 (multiplicity 2)  1 Os 1.77
O: 0.2906 0.0000 0.1167 (multiplicity 2)  1 Os 1.85
O: 0.3879 0.1871 0.5003 (multiplicity 4)  1 Os 1.79

Computed properties:
relative energy among the computed polymorphs	32	meV/atom
Fermi-level density of states	0.00	states/eV per cell
spin magnetization	0.05	μB/f.u.


# K8OsO6

K8OsO6 after structural relaxation (PBE, the Alexandria database).

Cell lengths 7.3218, 7.3557, 12.3961 Å; angles 90.00, 90.00, 90.00 degrees
With the nearest neighbours (Å) after each atom.
Space group Pmn2_1 (No. 31)
Inequivalent atoms, fractional coordinates:
K: 0.0000 0.1142 0.0000 (multiplicity 2)  3 O 2.63-2.70
K: 0.0000 0.1205 0.5152 (multiplicity 2)  3 O 2.63-2.92
K: 0.2120 0.5194 0.1915 (multiplicity 4)  3 O 2.63-2.86
K: 0.2207 0.9967 0.2340 (multiplicity 4)  3 O 2.57-2.80
K: 0.2280 0.6170 0.9248 (multiplicity 4)  4 O 2.71-2.76, 1 K 2.99
Os: 0.0000 0.7069 0.4876 (multiplicity 2)  4 O 1.87-2.00
O: 0.0000 0.2508 0.2924 (multiplicity 2)  6 K 2.57-2.81
O: 0.0000 0.4686 0.5644 (multiplicity 2)  1 Os 2.00
O: 0.0000 0.7796 0.0740 (multiplicity 2)  5 K 2.63-2.86
O: 0.0000 0.8046 0.6338 (multiplicity 2)  1 Os 1.95
O: 0.2050 0.7441 0.4000 (multiplicity 4)  1 Os 1.87

Computed properties:
calculated total energy	-129.73	eV/cell
Fermi-level density of states	10.14	states/eV per cell
spin magnetization	0.09	μB/f.u.


# K2OsO3

K2OsO3 after structural relaxation (PBE, the Alexandria database).

Cell lengths 11.9712, 6.8025, 7.9689 Å; angles 90.00, 124.65, 90.00 degrees
With the nearest neighbours (Å) after each atom.
Space group Cc (No. 9)
Inequivalent atoms, fractional coordinates:
K: 0.0000 0.1259 0.0000 (multiplicity 4)  5 O 2.73-3.05
K: 0.3390 0.1289 0.9490 (multiplicity 4)  4 O 2.72-2.76
Os: 0.1680 0.3844 0.4723 (multiplicity 4)  3 O 1.80-1.81
O: 0.0097 0.4840 0.8518 (multiplicity 4)  1 Os 1.80
O: 0.1673 0.1184 0.4655 (multiplicity 4)  1 Os 1.81
O: 0.3272 0.4857 0.0980 (multiplicity 4)  1 Os 1.80

Computed properties:
relative energy among the computed polymorphs	0	meV/atom
spin magnetization	2.00	μB/f.u.


# K4OsO4

K4OsO4 after structural relaxation (PBE, the Alexandria database).

Cell lengths 6.4063, 6.4063, 12.0674 Å; angles 90.00, 90.00, 90.00 degrees
With the nearest neighbours (Å) after each atom.
Space group I-42m (No. 121)
Inequivalent atoms, fractional coordinates:
K: 0.0000 0.0000 0.2157 (multiplicity 4)  2 O 2.61
K: 0.0000 0.5000 0.0000 (multiplicity 4)  4 O 2.72
Os: 0.0000 0.0000 0.5000 (multiplicity 2)  4 O 1.90
O: 0.1578 0.1578 0.3962 (multiplicity 8)  1 Os 1.90

Computed properties:
calculated total energy	-89.67	eV/cell
Fermi-level density of states	14.68	states/eV per cell
spin magnetization	0.43	μB/f.u.


# KOs2O

KOs2O after structural relaxation (PBE, the Alexandria database).

Cell lengths 5.0037, 5.0037, 13.2911 Å; angles 90.00, 90.00, 90.00 degrees
With the nearest neighbours (Å) after each atom.
Space group I4_1/amd (No. 141, origin choice 2)
Inequivalent atoms, fractional coordinates:
K: 0.0000 0.2500 0.3750 (multiplicity 4)  8 Os 3.25, 4 O 3.54
Os: 0.0000 0.0000 0.0000 (multiplicity 8)  2 O 2.08
O: 0.0000 0.2500 0.8750 (multiplicity 4)  4 Os 2.08

Computed properties:
calculated total energy	-99.08	eV/cell
Fermi-level density of states	20.24	states/eV per cell
spin magnetization	1.33	μB/f.u.


# K3OsO6

K3OsO6 after structural relaxation (PBE, the Alexandria database).

Cell lengths 10.1090, 10.1090, 12.6206 Å; angles 90.00, 90.00, 120.00 degrees
With the nearest neighbours (Å) after each atom.
Space group R-3c (No. 167, hexagonal axes)
Inequivalent atoms, fractional coordinates:
K: 0.0000 0.3302 0.2500 (multiplicity 18)  8 O 2.76-3.07
Os: 0.0000 0.0000 0.0000 (multiplicity 6)  6 O 1.87
O: 0.0140 0.1578 0.4149 (multiplicity 36)  1 Os 1.87

Computed properties:
relative energy among the computed polymorphs	11	meV/atom
Fermi-level density of states	56.56	states/eV per cell
spin magnetization	1.05	μB/f.u.


# KOsO6

KOsO6 after structural relaxation (PBE, the Alexandria database).

Cell lengths 7.5581, 7.5581, 7.9530 Å; angles 90.00, 90.00, 120.00 degrees
With the nearest neighbours (Å) after each atom.
Space group R-3m (No. 166, hexagonal axes)
Inequivalent atoms, fractional coordinates:
K: 0.0000 0.0000 0.0000 (multiplicity 3)  6 O 2.87
Os: 0.0000 0.0000 0.5000 (multiplicity 3)  6 O 1.85
O: 0.1034 0.5517 0.3019 (multiplicity 18)  1 Os 1.85

Computed properties:
calculated total energy	-136.62	eV/cell
Fermi-level density of states	5.24	states/eV per cell
spin magnetization	3.00	μB/f.u.


# KOs4O2

KOs4O2 after structural relaxation (PBE, the Alexandria database).

Cell lengths 4.6080, 4.6080, 11.9876 Å; angles 90.00, 90.00, 90.00 degrees
With the nearest neighbours (Å) after each atom.
Space group I4/mmm (No. 139)
Inequivalent atoms, fractional coordinates:
K: 0.0000 0.0000 0.0000 (multiplicity 2)  4 Os 2.30
Os: 0.0000 0.0000 0.2525 (multiplicity 4)  1 O 1.81
Os: 0.0000 0.5000 0.0000 (multiplicity 4)  2 K 2.30, 4 O 2.58
O: 0.0000 0.0000 0.4033 (multiplicity 4)  1 Os 1.81

Computed properties:
calculated total energy	-69.86	eV/cell
Fermi-level density of states	16.69	states/eV per cell
spin magnetization	0.51	μB/f.u.


# KOs3O12

KOs3O12 after structural relaxation (PBE, the Alexandria database).

Cell lengths 9.2852, 9.2852, 31.8859 Å; angles 90.00, 90.00, 120.00 degrees
With the nearest neighbours (Å) after each atom.
Space group R3c (No. 161, hexagonal axes)
Inequivalent atoms, fractional coordinates:
K: 0.0000 0.0000 0.0000 (multiplicity 6)  9 O 2.74-3.05
Os: 0.0185 0.3370 0.0664 (multiplicity 18)  4 O 1.73-1.74
O: 0.1331 0.3599 0.0212 (multiplicity 18)  1 Os 1.74
O: 0.1525 0.4240 0.1089 (multiplicity 18)  1 Os 1.74
O: 0.1982 0.4302 0.3930 (multiplicity 18)  1 Os 1.73
O: 0.2083 0.4279 0.7410 (multiplicity 18)  1 Os 1.74

Computed properties:
calculated total energy	-668.88	eV/cell
Fermi-level density of states	60.99	states/eV per cell
spin magnetization	1.26	μB/f.u.


# KOs2O6

KOs2O6 after structural relaxation (PBE, the Alexandria database).

Cell lengths 5.7207, 6.5219, 7.3705 Å; angles 65.61, 69.96, 75.89 degrees
With the nearest neighbours (Å) after each atom.
Space group P-1 (No. 2)
Inequivalent atoms, fractional coordinates:
K: 0.1900 0.2071 0.3851 (multiplicity 2)  8 O 2.73-3.00
Os: 0.1845 0.8577 0.9529 (multiplicity 2)  6 O 1.94-1.98
Os: 0.3692 0.4110 0.7378 (multiplicity 2)  6 O 1.89-1.97
O: 0.0195 0.3885 0.8759 (multiplicity 2)  2 Os 1.92-1.94
O: 0.0930 0.9795 0.1763 (multiplicity 2)  2 Os 1.98
O: 0.3022 0.5386 0.4671 (multiplicity 2)  2 Os 1.95-1.97
O: 0.3067 0.7150 0.7419 (multiplicity 2)  2 Os 1.94-1.98
O: 0.3812 0.1067 0.7612 (multiplicity 2)  2 Os 1.91-1.95
O: 0.4791 0.6885 0.0450 (multiplicity 2)  2 Os 1.89-1.94

Computed properties:
relative energy among the computed polymorphs	0	meV/atom
Fermi-level density of states	5.88	states/eV per cell
spin magnetization	0.00	μB/f.u.


# KOs3O

KOs3O after structural relaxation (PBE, the Alexandria database).

Cell lengths 4.6955, 4.6955, 4.6955 Å; angles 90.00, 90.00, 90.00 degrees
With the nearest neighbours (Å) after each atom.
Space group Pm-3m (No. 221)
Inequivalent atoms, fractional coordinates:
K: 0.0000 0.0000 0.0000 (multiplicity 1)  6 Os 2.35
Os: 0.0000 0.0000 0.5000 (multiplicity 3)  2 K 2.35
O: 0.5000 0.5000 0.5000 (multiplicity 1)  12 Os 3.32

Computed properties:
relative energy among the computed polymorphs	2895	meV/atom
Fermi-level density of states	7.06	states/eV per cell
spin magnetization	6.74	μB/f.u.


# K2POsO6

K2POsO6 after structural relaxation (PBE, the Alexandria database).

Cell lengths 7.5164, 7.5164, 7.5164 Å; angles 90.00, 90.00, 90.00 degrees
With the nearest neighbours (Å) after each atom.
Space group Fm-3m (No. 225)
Inequivalent atoms, fractional coordinates:
K: 0.2500 0.2500 0.2500 (multiplicity 8)  12 O 2.66
P: 0.0000 0.0000 0.0000 (multiplicity 4)  6 O 1.74
Os: 0.0000 0.0000 0.5000 (multiplicity 4)  6 O 2.02
O: 0.0000 0.0000 0.2314 (multiplicity 24)  1 P 1.74

Computed properties:
calculated total energy	-244.42	eV/cell
Fermi-level density of states	16.85	states/eV per cell
spin magnetization	1.09	μB/f.u.


# KPaOs2O8

KPaOs2O8 after structural relaxation (PBE, the Alexandria database).

Cell lengths 5.8984, 5.8984, 7.7037 Å; angles 90.00, 90.00, 120.00 degrees
With the nearest neighbours (Å) after each atom.
Space group P-3m1 (No. 164)
Inequivalent atoms, fractional coordinates:
K: 0.0000 0.0000 0.0000 (multiplicity 1)  12 O 3.05-3.41
Pa: 0.0000 0.0000 0.5000 (multiplicity 1)  6 O 2.18
Os: 0.3333 0.6667 0.7805 (multiplicity 2)  4 O 1.75-1.87
O: 0.1690 0.3381 0.6730 (multiplicity 6)  1 Os 1.87
O: 0.3333 0.6667 0.0082 (multiplicity 2)  1 Os 1.75

Computed properties:
calculated total energy	-91.93	eV/cell
Fermi-level density of states	10.02	states/eV per cell
spin magnetization	0.00	μB/f.u.